Density functional theory data (PBE) for crystalline Pm4PrEr at its relaxed geometry.

Cell and atoms, written as POSCAR:
```
Pm4PrEr
1.0
-5.3364 -3.1681 -1.5628
-0.3284 -6.3095 -1.0193
-1.2111 -0.9109 5.8942
Pm Er Pr
4 1 1
direct
0.3255 0.3255 0.9571 Pm
0.8268 0.8268 0.5442 Pm
0.1732 0.1732 0.4558 Pm
0.6745 0.6745 0.0429 Pm
0.0000 0.0000 0.0000 Er
0.5000 0.5000 0.5000 Pr
```

## Properties
Final energy in eV/atom: -4.615